A relaxed MnAsOs2 crystal, computed with GGA-PBE.

Cell: 2.7847 2.7847 24.7366 Å, 90.00 90.00 120.00°
Space group R3m (No. 160, hexagonal axes)
Unique sites:
Mn 0.0000 0.0000 0.0000 [3 per cell]
As 0.0000 0.0000 0.2567 [3 per cell]
Os 0.0000 0.0000 0.5048 [3 per cell]
Os 0.0000 0.0000 0.7494 [3 per cell]

Summary:
Its total energy is -8.801 eV per atom.

=====

A relaxed K3Pr2PuTe6 crystal, computed with GGA-PBE.

Cell: 8.0258 13.9016 8.6487 Å, 90.00 108.02 90.00°
Space group C2/m (No. 12)
Unique sites:
K 0.0000 0.0000 0.0000 [2 per cell]
K 0.0000 0.3321 0.0000 [4 per cell]
Pr 0.0000 0.1664 0.5000 [4 per cell]
Pu 0.0000 0.5000 0.5000 [2 per cell]
Te 0.2355 0.3357 0.7138 [8 per cell]
Te 0.2429 0.0000 0.7142 [4 per cell]

Summary:
As for the uncorrected formation energy: -1.306 eV/atom.

=====

A relaxed Cs2K2H4Pd crystal, computed with GGA-PBE.

Cell: 7.9065 7.9065 9.2985 Å, 90.00 90.00 90.00°
Space group I4/mmm (No. 139)
Unique sites:
Cs 0.0000 0.5000 0.2500 [4 per cell]
K 0.0000 0.0000 0.1908 [4 per cell]
H 0.1507 0.1507 0.5000 [8 per cell]
Pd 0.0000 0.0000 0.5000 [2 per cell]

Summary:
Its total energy is -2.532 eV per atom.

=====

A relaxed SmHoZn crystal, computed with GGA-PBE.

Cell: 3.6050 3.6050 12.2434 Å, 90.00 90.00 90.00°
Space group I4mm (No. 107)
Unique sites:
Sm 0.0000 0.0000 0.0000 [2 per cell]
Ho 0.0000 0.0000 0.7115 [2 per cell]
Zn 0.0000 0.0000 0.3475 [2 per cell]

Summary:
The relative energy among the computed polymorphs comes out at 0 meV per atom.

=====

A relaxed Pm5Co2Ge crystal, computed with GGA-PBE.

Cell: 7.6941 7.6941 13.3001 Å, 90.00 90.00 90.00°
Space group I4/mcm (No. 140)
Unique sites:
Pm 0.0000 0.0000 0.0000 [4 per cell]
Pm 0.1645 0.3355 0.1390 [16 per cell]
Co 0.1266 0.3734 0.5000 [8 per cell]
Ge 0.0000 0.0000 0.2500 [4 per cell]

Summary:
Its total energy is -5.602 eV per atom.

=====

A relaxed SmScPb crystal, computed with GGA-PBE.

Cell: 4.9833 4.9833 4.0062 Å, 90.00 90.00 120.00°
Space group P-6m2 (No. 187)
Unique sites:
Sm 0.0000 0.0000 0.0000 [1 per cell]
Sc 0.6667 0.3333 0.5000 [1 per cell]
Pb 0.3333 0.6667 0.5000 [1 per cell]

Summary:
The relative energy among the computed polymorphs comes out at 183 meV per atom.

=====

A relaxed SrScS2O8 crystal, computed with GGA-PBE.

Cell: 5.2767 5.2767 7.2459 Å, 90.00 90.00 120.00°
Space group P-3m1 (No. 164)
Unique sites:
Sr 0.0000 0.0000 0.0000 [1 per cell]
Sc 0.0000 0.0000 0.5000 [1 per cell]
S 0.3333 0.6667 0.7723 [2 per cell]
O 0.1787 0.3574 0.7056 [6 per cell]
O 0.3333 0.6667 0.9762 [2 per cell]

Summary:
As for the uncorrected formation energy: -2.018 eV/atom.

=====

A relaxed KLiBi3 crystal, computed with GGA-PBE.

Cell: 6.0277 6.0277 6.0277 Å, 90.00 90.00 90.00°
Space group Pm-3m (No. 221)
Unique sites:
K 0.0000 0.0000 0.0000 [1 per cell]
Li 0.5000 0.5000 0.5000 [1 per cell]
Bi 0.0000 0.0000 0.5000 [3 per cell]

Summary:
The relative energy among the computed polymorphs comes out at 909 meV per atom.